Entry 1:
Entry from Alexandria via LeMat-Bulk: a relaxed structure of K2BeCu (GGA-PBE). Values from VASP.

## Properties
E = -8.118 eV per cell
symmetry = P4mm (99)
formation enthalpy at 0 K = 0.47 eV/atom
magnetization = 0.0 μB per cell
mass density = 2.24 g cm⁻³

Quantum ESPRESSO input file:
```
&SYSTEM
  ibrav = 0, nat = 4, ntyp = 3
/
ATOMIC_SPECIES
Be 9.01 Be.upf
K 39.10 K.upf
Cu 63.55 Cu.upf
ATOMIC_POSITIONS angstrom
Be 0.0000 0.0000 6.0910
K 0.0000 0.0000 9.1131
K 1.6733 1.6757 3.3197
Cu 1.6733 1.6757 6.3706
CELL_PARAMETERS angstrom
3.3467 0.0000 0.0000
0.0000 3.3514 0.0000
0.0000 0.0000 9.9578
```

=====

Entry 2:
Entry from Alexandria via LeMat-Bulk: a relaxed structure of LiCaAlGa2 (GGA-PBE). Values from VASP.

## Properties
E = -15.579 eV per cell
symmetry = I-4m2 (119)
formation enthalpy at 0 K = -0.37 eV/atom
magnetization = 0.0 μB per cell
mass density = 3.52 g cm⁻³

Quantum ESPRESSO input file:
```
&SYSTEM
  ibrav = 0, nat = 5, ntyp = 4
/
ATOMIC_SPECIES
Li 6.94 Li.upf
Ca 40.08 Ca.upf
Al 26.98 Al.upf
Ga 69.72 Ga.upf
ATOMIC_POSITIONS angstrom
Li 1.4504 1.5797 2.7970
Ca 0.0000 0.0000 0.0000
Al -0.4119 3.2873 1.2025
Ga -1.1600 1.2922 2.7386
Ga 2.1984 3.5748 1.2609
CELL_PARAMETERS angstrom
-3.6545 1.9718 0.7814
0.0701 -1.4436 3.9705
4.6228 4.3388 -0.7524
```

=====

magnetization of number 1 (K2BeCu)? 0.0 μB per cell